Record 1
Density functional theory data (PBE) for a relaxed PrHoGaTe3 crystal.

abc: 4.246 15.461 10.532
angles: 90.00 90.00 90.00
Space group Cmcm (No. 63)
Unique sites:
Pr  0.000  0.223  0.250 (multiplicity 4)
Ho  0.000  0.000  0.000 (multiplicity 4)
Ga  0.000  0.475  0.750 (multiplicity 4)
Te  0.000  0.118  0.750 (multiplicity 4)
Te  0.000  0.350  0.539 (multiplicity 8)

Output
The total energy is -111.07 eV/cell.


Record 2
Density functional theory data (PBE) for a relaxed Cs2DyZrS4 crystal.

abc: 3.9574 3.9574 16.0625
angles: 90.00 90.00 120.00
Space group P-3m1 (No. 164)
Unique sites:
Cs  0.3333  0.6667  0.2535 (multiplicity 2)
Dy  0.0000  0.0000  0.0000 (multiplicity 1)
Zr  0.0000  0.0000  0.5000 (multiplicity 1)
S  0.3333  0.6667  0.5883 (multiplicity 2)
S  0.3333  0.6667  0.9054 (multiplicity 2)

Output
The total energy is -44.25 eV/cell.


Record 3
Density functional theory data (PBE) for a relaxed BaTlCdIn2 crystal.

abc: 4.931 4.931 12.676
angles: 90.00 90.00 90.00
Space group I4mm (No. 107)
Unique sites:
Ba  0.000  0.000  0.000 (multiplicity 2)
Tl  0.000  0.000  0.611 (multiplicity 2)
Cd  0.000  0.000  0.383 (multiplicity 2)
In  0.000  0.500  0.255 (multiplicity 4)

Output
The total energy is -24.43 eV/cell.


Record 4
Density functional theory data (PBE) for a relaxed CdGa2Sn crystal.

abc: 7.122 7.122 7.122
angles: 90.00 90.00 90.00
Space group F-43m (No. 216)
Unique sites:
Cd  0.000  0.000  0.000 (multiplicity 4)
Ga  0.000  0.000  0.500 (multiplicity 4)
Ga  0.250  0.250  0.250 (multiplicity 4)
Sn  0.250  0.250  0.750 (multiplicity 4)

Output
The total energy is -42.60 eV/cell.


Record 5
Density functional theory data (PBE) for a relaxed Zn8N crystal.

abc: 7.2231 7.2231 2.8774
angles: 90.00 90.00 120.00
Space group P6/mmm (No. 191)
Unique sites:
Zn  0.1663  0.3326  0.0000 (multiplicity 6)
Zn  0.3333  0.6667  0.0000 (multiplicity 2)
N  0.0000  0.0000  0.5000 (multiplicity 1)

Output
The total energy is -5.72 eV/cell.


Record 6
Density functional theory data (PBE) for a relaxed FeCu2H6Ir crystal.

abc: 6.628 6.628 6.628
angles: 90.00 90.00 90.00
Space group Fm-3m (No. 225)
Unique sites:
Fe  0.000  0.000  0.000 (multiplicity 4)
Cu  0.250  0.250  0.250 (multiplicity 8)
H  0.000  0.000  0.245 (multiplicity 24)
Ir  0.000  0.000  0.500 (multiplicity 4)

Output
The total energy is -167.54 eV/cell.


What did the fourth record say?
Density functional theory data (PBE) for a relaxed CdGa2Sn crystal.

abc: 7.122 7.122 7.122
angles: 90.00 90.00 90.00
Space group F-43m (No. 216)
Unique sites:
Cd  0.000  0.000  0.000 (multiplicity 4)
Ga  0.000  0.000  0.500 (multiplicity 4)
Ga  0.250  0.250  0.250 (multiplicity 4)
Sn  0.250  0.250  0.750 (multiplicity 4)

Output
The total energy is -42.60 eV/cell.